<P>
# PBE-GGA Hg2PbO2, relaxed
data_Hg2PbO2
_cell_length_a 3.923
_cell_length_b 3.923
_cell_length_c 12.198
_cell_angle_alpha 90.00
_cell_angle_beta 90.00
_cell_angle_gamma 90.00
_symmetry_space_group_name_H-M 'I 4/m m m'
_symmetry_Int_Tables_number 139
_symmetry_space_group_name_Hall '-I 4 2'
loop_
_atom_site_label
_atom_site_type_symbol
_atom_site_fract_x
_atom_site_fract_y
_atom_site_fract_z
Hg1 Hg 0.000 0.500 0.250
Pb1 Pb 0.000 0.000 0.000
O1 O 0.000 0.000 0.387
# total magnetic moment: 0.0 μB/cell

***

<Q>
# PBE-GGA Hg2PbO2, relaxed
data_Hg2PbO2
_cell_length_a 7.297
_cell_length_b 7.297
_cell_length_c 3.833
_cell_angle_alpha 90.00
_cell_angle_beta 90.00
_cell_angle_gamma 90.00
_symmetry_space_group_name_H-M 'P 4/m b m'
_symmetry_Int_Tables_number 127
_symmetry_space_group_name_Hall '-P 4 2ab'
loop_
_atom_site_label
_atom_site_type_symbol
_atom_site_fract_x
_atom_site_fract_y
_atom_site_fract_z
Hg1 Hg 0.129 0.371 0.000
Pb1 Pb 0.000 0.000 0.500
O1 O 0.245 0.745 0.500
# total magnetic moment: 0.0 μB/cell

***

How do the energies compare? Relative to the most stable structure, in eV/atom: <P> 0.224; <Q> 0.000.